No. 1
A relaxed structure of BaPaTe2S8. Source: the Alexandria database, functional PBE.

Output
Raw formation energy ... -0.6063 eV/atom

Geometry as CIF:
```
data_BaPaTe2S8
_cell_length_a 6.6944
_cell_length_b 6.6944
_cell_length_c 8.8185
_cell_angle_alpha 90.00
_cell_angle_beta 90.00
_cell_angle_gamma 120.00
_symmetry_space_group_name_H-M 'P -3'
_symmetry_Int_Tables_number 147
loop_
_symmetry_equiv_pos_as_xyz
'x,y,z'
'-x,-y,-z'
'-y,x-y,z'
'y,-x+y,-z'
'-x+y,-x,z'
'x-y,x,-z'
loop_
_atom_site_label
_atom_site_type_symbol
_atom_site_fract_x
_atom_site_fract_y
_atom_site_fract_z
Ba1 Ba 0.0000 0.0000 0.0000
Pa1 Pa 0.0000 0.0000 0.5000
Te1 Te 0.3333 0.6667 0.7127
S1 S 0.0524 0.7194 0.3134
S2 S 0.3333 0.6667 0.9723
```


No. 2
A relaxed structure of KNaY2Cd. Source: the Alexandria database, functional PBE.

Output
Calculated formation energy ... 0.8788 eV per atom

Geometry as CIF:
```
data_KNaY2Cd
_cell_length_a 5.8590
_cell_length_b 5.8590
_cell_length_c 5.7765
_cell_angle_alpha 90.00
_cell_angle_beta 90.00
_cell_angle_gamma 90.00
_symmetry_space_group_name_H-M 'P 4/m m m'
_symmetry_Int_Tables_number 123
_symmetry_space_group_name_Hall '-P 4 2'
loop_
_atom_site_label
_atom_site_type_symbol
_atom_site_fract_x
_atom_site_fract_y
_atom_site_fract_z
K1 K 0.0000 0.0000 0.0000
Na1 Na 0.0000 0.0000 0.5000
Y1 Y 0.0000 0.5000 0.5000
Cd1 Cd 0.5000 0.5000 0.0000
```


No. 3
A relaxed structure of Li2NiAs. Source: the Alexandria database, functional PBE.

Output
Calculated formation energy ... -0.1264 eV per atom

Geometry as CIF:
```
data_Li2NiAs
_cell_length_a 2.7018
_cell_length_b 2.7018
_cell_length_c 7.6200
_cell_angle_alpha 90.00
_cell_angle_beta 90.00
_cell_angle_gamma 90.00
_symmetry_space_group_name_H-M 'P 4/m m m'
_symmetry_Int_Tables_number 123
_symmetry_space_group_name_Hall '-P 4 2'
loop_
_atom_site_label
_atom_site_type_symbol
_atom_site_fract_x
_atom_site_fract_y
_atom_site_fract_z
Li1 Li 0.0000 0.0000 0.2390
Ni1 Ni 0.5000 0.5000 0.0000
As1 As 0.5000 0.5000 0.5000
```


No. 4
A relaxed structure of Sc2OsRu. Source: the Alexandria database, functional PBE.

Output
Calculated formation energy ... -0.1133 eV per atom

Geometry as CIF:
```
data_Sc2OsRu
_cell_length_a 2.9204
_cell_length_b 2.9204
_cell_length_c 8.5193
_cell_angle_alpha 90.00
_cell_angle_beta 90.00
_cell_angle_gamma 90.00
_symmetry_space_group_name_H-M 'P 4 m m'
_symmetry_Int_Tables_number 99
loop_
_symmetry_equiv_pos_as_xyz
'x,y,z'
'-y,x,z'
'-x,-y,z'
'y,-x,z'
'-x,y,z'
'y,x,z'
'x,-y,z'
'-y,-x,z'
loop_
_atom_site_label
_atom_site_type_symbol
_atom_site_fract_x
_atom_site_fract_y
_atom_site_fract_z
Sc1 Sc 0.0000 0.0000 0.0000
Sc2 Sc 0.5000 0.5000 0.3370
Os1 Os 0.0000 0.0000 0.5734
Ru1 Ru 0.5000 0.5000 0.7632
```


No. 5
A relaxed structure of Tb6CeSm2Ho3. Source: the Alexandria database, functional PBE.

Output
Calculated formation energy ... 0.0370 eV per atom

Geometry as CIF:
```
data_Tb6CeSm2Ho3
_cell_length_a 6.1708
_cell_length_b 10.6870
_cell_length_c 11.8056
_cell_angle_alpha 90.00
_cell_angle_beta 100.04
_cell_angle_gamma 90.00
_symmetry_space_group_name_H-M 'C 1 2/m 1'
_symmetry_Int_Tables_number 12
loop_
_symmetry_equiv_pos_as_xyz
'x,y,z'
'-x,-y,-z'
'-x,y,-z'
'x,-y,z'
'x+1/2,y+1/2,z'
'-x+1/2,-y+1/2,-z'
'-x+1/2,y+1/2,-z'
'x+1/2,-y+1/2,z'
loop_
_atom_site_label
_atom_site_type_symbol
_atom_site_fract_x
_atom_site_fract_y
_atom_site_fract_z
Tb1 Tb 0.2470 0.0000 0.2479
Tb2 Tb 0.2495 0.1654 0.7517
Ce1 Ce 0.0000 0.0000 0.5000
Sm1 Sm 0.0000 0.3335 0.5000
Ho1 Ho 0.0000 0.1671 0.0000
Ho2 Ho 0.0000 0.5000 0.0000
```


No. 6
A relaxed structure of DyTlS2. Source: the Alexandria database, functional PBE.

Output
Raw formation energy ... -1.4901 eV/atom

Geometry as CIF:
```
data_DyTlS2
_cell_length_a 4.0310
_cell_length_b 4.0310
_cell_length_c 22.5723
_cell_angle_alpha 90.00
_cell_angle_beta 90.00
_cell_angle_gamma 120.00
_symmetry_space_group_name_H-M 'R -3 m'
_symmetry_Int_Tables_number 166
_symmetry_space_group_name_Hall '-R 3 2"'
loop_
_atom_site_label
_atom_site_type_symbol
_atom_site_fract_x
_atom_site_fract_y
_atom_site_fract_z
Dy1 Dy 0.0000 0.0000 0.0000
Tl1 Tl 0.0000 0.0000 0.5000
S1 S 0.0000 0.0000 0.2675
```


No. 7
A relaxed structure of CsBa2HfC. Source: the Alexandria database, functional PBE.

Output
Calculated formation energy ... 1.3785 eV per atom

Geometry as CIF:
```
data_CsBa2HfC
_cell_length_a 5.6787
_cell_length_b 5.6787
_cell_length_c 6.3175
_cell_angle_alpha 90.00
_cell_angle_beta 90.00
_cell_angle_gamma 90.00
_symmetry_space_group_name_H-M 'P 4/m m m'
_symmetry_Int_Tables_number 123
_symmetry_space_group_name_Hall '-P 4 2'
loop_
_atom_site_label
_atom_site_type_symbol
_atom_site_fract_x
_atom_site_fract_y
_atom_site_fract_z
Cs1 Cs 0.0000 0.0000 0.0000
Ba1 Ba 0.0000 0.5000 0.5000
Hf1 Hf 0.5000 0.5000 0.0000
C1 C 0.0000 0.0000 0.5000
```


No. 8
A relaxed structure of Ac2BiF8. Source: the Alexandria database, functional PBE.

Output
Raw formation energy ... -3.4955 eV/atom

Geometry as CIF:
```
data_Ac2BiF8
_cell_length_a 14.5476
_cell_length_b 4.1594
_cell_length_c 6.3367
_cell_angle_alpha 90.00
_cell_angle_beta 114.58
_cell_angle_gamma 90.00
_symmetry_space_group_name_H-M 'C 1 2 1'
_symmetry_Int_Tables_number 5
loop_
_symmetry_equiv_pos_as_xyz
'x,y,z'
'-x,y,-z'
'x+1/2,y+1/2,z'
'-x+1/2,y+1/2,-z'
loop_
_atom_site_label
_atom_site_type_symbol
_atom_site_fract_x
_atom_site_fract_y
_atom_site_fract_z
Ac1 Ac 0.1677 0.0000 0.1528
Bi1 Bi 0.0000 0.4981 0.5000
F1 F 0.0171 0.0005 0.2137
F2 F 0.1040 0.5000 0.9006
F3 F 0.1614 0.4997 0.4419
F4 F 0.2149 0.0001 0.8068
```


No. 9
A relaxed structure of BePbSe2. Source: the Alexandria database, functional PBE.

Output
Raw formation energy ... 0.2905 eV/atom
Distance to the lowest polymorph of the same formula ... 815.7 meV per atom

Geometry as CIF:
```
data_BePbSe2
_cell_length_a 7.0609
_cell_length_b 7.0609
_cell_length_c 7.0609
_cell_angle_alpha 90.00
_cell_angle_beta 90.00
_cell_angle_gamma 90.00
_symmetry_space_group_name_H-M 'F m -3 m'
_symmetry_Int_Tables_number 225
_symmetry_space_group_name_Hall '-F 4 2 3'
loop_
_atom_site_label
_atom_site_type_symbol
_atom_site_fract_x
_atom_site_fract_y
_atom_site_fract_z
Be1 Be 0.0000 0.0000 0.0000
Pb1 Pb 0.0000 0.0000 0.5000
Se1 Se 0.2500 0.2500 0.2500
```


No. 10
A relaxed structure of Rb2CaAuF6. Source: the Alexandria database, functional PBE.

Output
Raw formation energy ... -2.5059 eV/atom

Geometry as CIF:
```
data_Rb2CaAuF6
_cell_length_a 6.5601
_cell_length_b 6.5601
_cell_length_c 8.7255
_cell_angle_alpha 90.00
_cell_angle_beta 90.00
_cell_angle_gamma 90.00
_symmetry_space_group_name_H-M 'I 4/m m m'
_symmetry_Int_Tables_number 139
_symmetry_space_group_name_Hall '-I 4 2'
loop_
_atom_site_label
_atom_site_type_symbol
_atom_site_fract_x
_atom_site_fract_y
_atom_site_fract_z
Rb1 Rb 0.0000 0.5000 0.2500
Ca1 Ca 0.0000 0.0000 0.0000
Au1 Au 0.0000 0.0000 0.5000
F1 F 0.0000 0.0000 0.2596
F2 F 0.2401 0.2401 0.0000
```


No. 11
A relaxed structure of ZnFeCl2. Source: the Alexandria database, functional PBE.

Output
Raw formation energy ... -0.1877 eV/atom
Distance to the lowest polymorph of the same formula ... 172.5 meV per atom

Geometry as CIF:
```
data_ZnFeCl2
_cell_length_a 3.2731
_cell_length_b 6.6927
_cell_length_c 9.9665
_cell_angle_alpha 90.00
_cell_angle_beta 90.00
_cell_angle_gamma 90.00
_symmetry_space_group_name_H-M 'C m m m'
_symmetry_Int_Tables_number 65
_symmetry_space_group_name_Hall '-C 2 2'
loop_
_atom_site_label
_atom_site_type_symbol
_atom_site_fract_x
_atom_site_fract_y
_atom_site_fract_z
Zn1 Zn 0.0000 0.0000 0.0000
Fe1 Fe 0.0000 0.0000 0.5000
Cl1 Cl 0.0000 0.5000 0.3316
```


No. 12
A relaxed structure of CeSc14Sn. Source: the Alexandria database, functional PBE.

Output
Calculated formation energy ... -0.0906 eV per atom

Geometry as CIF:
```
data_CeSc14Sn
_cell_length_a 10.3431
_cell_length_b 6.6683
_cell_length_c 11.3501
_cell_angle_alpha 90.00
_cell_angle_beta 90.00
_cell_angle_gamma 90.00
_symmetry_space_group_name_H-M 'A m m 2'
_symmetry_Int_Tables_number 38
loop_
_symmetry_equiv_pos_as_xyz
'x,y,z'
'-x,-y,z'
'-x,y,z'
'x,-y,z'
'x,y+1/2,z+1/2'
'-x,-y+1/2,z+1/2'
'-x,y+1/2,z+1/2'
'x,-y+1/2,z+1/2'
loop_
_atom_site_label
_atom_site_type_symbol
_atom_site_fract_x
_atom_site_fract_y
_atom_site_fract_z
Ce1 Ce 0.0000 0.0000 0.0000
Sc1 Sc 0.0000 0.2451 0.7599
Sc2 Sc 0.2436 0.0000 0.3449
Sc3 Sc 0.2480 0.2498 0.0918
Sc4 Sc 0.2604 0.0000 0.8418
Sc5 Sc 0.5000 0.0000 0.0143
Sc6 Sc 0.5000 0.0000 0.5122
Sc7 Sc 0.5000 0.2458 0.2610
Sn1 Sn 0.0000 0.0000 0.5150
```